PmHo2Ru2 after structural relaxation, computed with PBE.

Cell: 4.3817 5.2828 11.5543 Å, 108.58 90.00 90.00°
Fractional coordinates of all 10 atoms:
Ho1 0.2500 0.8159 0.8777
Ho2 0.7500 0.1841 0.1223
Ho3 0.7500 0.7268 0.4794
Ho4 0.2500 0.2732 0.5206
Ru1 0.7500 0.1349 0.3602
Ru2 0.7500 0.6034 0.0142
Ru3 0.2500 0.8651 0.6398
Ru4 0.2500 0.3966 0.9858
Pm1 0.2500 0.7778 0.2383
Pm2 0.7500 0.2222 0.7617

Computed properties:
The distance to the lowest polymorph of the same formula comes out at 67 meV per atom. The uncorrected energy is -6.676 eV per atom. The formation energy comes out at -0.18 eV/atom. As for the space group: P2_1/m (11).

---

PmHoRu2 after structural relaxation, computed with PBE.

Cell: 4.8540 4.8540 4.8555 Å, 119.92 119.92 90.12°
Fractional coordinates of all 4 atoms:
Pm1 0.5000 0.0000 0.0000
Ru1 0.7501 0.7500 0.5000
Ru2 0.2499 0.2500 0.5000
Ho1 0.0000 0.5000 0.0000

Computed properties:
The distance to the lowest polymorph of the same formula comes out at 2 meV per atom. The uncorrected energy is -7.199 eV per atom. The formation energy comes out at -0.23 eV/atom. As for the space group: I4/mmm (139).

---

Pm4HoRu after structural relaxation, computed with PBE.

Cell: 6.0787 7.5191 9.4727 Å, 113.38 108.74 90.00°
Fractional coordinates of all 12 atoms:
Pm1 0.1726 0.6727 0.3454
Pm2 0.6152 0.8646 0.2307
Pm3 0.8274 0.3273 0.6546
Pm4 0.0000 0.2074 0.0001
Pm5 0.6153 0.3662 0.2307
Pm6 0.3848 0.1354 0.7693
Pm7 0.0000 0.7926 0.9999
Pm8 0.3847 0.6338 0.7693
Ho1 0.8009 0.8009 0.6017
Ho2 0.1991 0.1991 0.3983
Ru1 0.2608 0.5002 0.0005
Ru2 0.7392 0.4998 0.9995

Computed properties:
The uncorrected energy is -5.526 eV per atom. The formation energy comes out at -0.05 eV/atom. As for the space group: Immm (71).

---

PmHoRu4 after structural relaxation, computed with PBE.

Cell: 5.3647 5.3647 5.3647 Å, 60.00 60.00 60.00°
Fractional coordinates of all 6 atoms:
Ru1 0.1244 0.6252 0.6252
Ru2 0.6252 0.1244 0.6252
Ru3 0.6252 0.6252 0.1244
Ru4 0.6252 0.6252 0.6252
Ho1 0.0000 0.0000 0.0000
Pm1 0.2500 0.2500 0.2500

Computed properties:
The uncorrected energy is -7.981 eV per atom. The formation energy comes out at -0.24 eV/atom. As for the space group: F-43m (216).

---

PmHoRu after structural relaxation, computed with PBE.

Cell: 3.4308 3.4308 7.0452 Å, 104.09 104.09 90.00°
Fractional coordinates of all 3 atoms:
Ho1 0.3258 0.3258 0.6515
Ru1 0.9460 0.9460 0.8920
Pm1 0.5782 0.5782 0.1565

Computed properties:
The distance to the lowest polymorph of the same formula comes out at 0 meV per atom. The uncorrected energy is -6.475 eV per atom. The formation energy comes out at -0.27 eV/atom. As for the space group: I4mm (107).

---

PmHoRu after structural relaxation, computed with PBE.

Cell: 3.4342 6.8509 7.0698 Å, 104.26 104.11 89.98°
Fractional coordinates of all 6 atoms:
Ru1 0.9400 0.2969 0.6465
Ru2 0.9379 0.8070 0.6423
Ho1 0.5626 0.1130 0.8914
Ho2 0.3152 0.9910 0.3975
Pm1 0.5669 0.6185 0.9016
Pm2 0.3109 0.4854 0.3873

Computed properties:
The distance to the lowest polymorph of the same formula comes out at 5 meV per atom. The uncorrected energy is -6.469 eV per atom. The formation energy comes out at -0.27 eV/atom. As for the space group: P-1 (2).